A plane-wave DFT calculation with GGA-PBE was carried out for a geometry-optimized La2Nd6DyY3 structure.

As for the total moment: 0.000 μB per cell. The density of states at the Fermi level is 17.6 states/eV/f.u. The calculated formation energy comes out at 0.0156 eV per atom. As for the volume: 828 Å³ per cell.

The structure belongs to space group C2/m (No. 12); the cell edges are 6.339, 10.984 and 12.073 Å and the angles 90.00°, 100.10° and 90.00°. The asymmetric unit holds La at (0.000, 0.167, 0.000), Nd at (0.248, 0.500, 0.746), Nd at (0.250, 0.166, 0.747), Dy at (0.000, 0.500, 0.000), Y at (0.000, 0.000, 0.500) and Y at (0.000, 0.334, 0.500).